# PBE-GGA ScTl2Pb, optimized geometry
# - ΔE_f (eV/atom) = -0.0450
data_ScTl2Pb
_chemical_formula_sum 'Sc1 Tl2 Pb1'
_symmetry_space_group_name_H-M 'P 1'
_symmetry_Int_Tables_number 1
_symmetry_space_group_name_Hall 'P 1'
_cell_length_a 10.623
_cell_length_b 10.623
_cell_length_c 10.623
_cell_angle_alpha 19.13
_cell_angle_beta 19.13
_cell_angle_gamma 19.13
loop_
_atom_site_label
_atom_site_type_symbol
_atom_site_fract_x
_atom_site_fract_y
_atom_site_fract_z
_atom_site_occupancy
Sc1 Sc 0.000 0.000 0.000 1
Tl1 Tl 0.257 0.257 0.257 1
Tl2 Tl 0.504 0.504 0.504 1
Pb1 Pb 0.746 0.746 0.746 1